# CaPmTh2Sb4

A geometry-optimized CaPmTh2Sb4 structure (PBE, Alexandria via LeMat-Bulk).

- formation energy without anion corrections (eV per atom) = -1.032
- density of states at the Fermi level (states/eV per cell) = 1.88
- symmetry = P2/m (10)

a = 4.5182 Å, b = 7.8304 Å, c = 7.7873 Å
α = 109.54°, β = 90.00°, γ = 90.00°
Closest atoms and distances in Å follow each position.
Atoms (fractional coordinates):
Ca 0.5000 0.5000 0.0000  6 Sb 3.19-3.20
Pm 0.0000 0.0000 0.0000  6 Sb 3.19
Th 0.5000 0.0000 0.5000  6 Sb 3.18-3.19
Th 0.0000 0.5000 0.5000  6 Sb 3.18-3.19
Sb 0.5000 0.2499 0.2497  1 Ca 3.19, 2 Pm 3.19, 3 Th 3.19
Sb 0.5000 0.7501 0.7503  1 Ca 3.19, 2 Pm 3.19, 3 Th 3.19
Sb 0.0000 0.2491 0.7482  3 Th 3.18, 1 Pm 3.19, 2 Ca 3.20
Sb 0.0000 0.7509 0.2518  3 Th 3.18, 1 Pm 3.19, 2 Ca 3.20